! CuPIr4, optimized geometry, DFT PBE-GGA; values from VASP
&SYSTEM
  ibrav = 0, nat = 6, ntyp = 3
/
ATOMIC_SPECIES
Cu 63.55 Cu.upf
P 30.97 P.upf
Ir 192.22 Ir.upf
ATOMIC_POSITIONS crystal
Cu 0.000 0.000 0.000
P 0.250 0.250 0.250
Ir 0.625 0.625 0.125
Ir 0.625 0.125 0.625
Ir 0.625 0.625 0.625
Ir 0.125 0.625 0.625
CELL_PARAMETERS angstrom
0.000 3.647 3.647
3.647 0.000 3.647
3.647 3.647 0.000
! Formation enthalpy at 0 K = 0.75 eV per atom
! DFT total energy = -0.495 Ry/atom
! Space-group type = F-43m, No. 216
! Volume = 97.0 Å³ per cell